# Tl2MoPt3O12 | Alexandria via LeMat-Bulk | PBE with a Hubbard U | relaxed
data_Tl2MoPt3O12
_space_group_name_H-M_alt 'P 1'
_space_group_IT_number 1
_cell_length_a 7.3225
_cell_length_b 7.3225
_cell_length_c 7.3225
_cell_angle_alpha 58.55
_cell_angle_beta 58.55
_cell_angle_gamma 58.55
loop_
_space_group_symop_operation_xyz
'x,y,z'
loop_
_atom_site_label
_atom_site_type_symbol
_atom_site_fract_x
_atom_site_fract_y
_atom_site_fract_z
Tl1 Tl 0.6426 0.6426 0.6426
Tl2 Tl 0.3574 0.3574 0.3574
O1 O 0.9325 0.9325 0.3160
O2 O 0.6699 0.0713 0.6699
O3 O 0.3160 0.9325 0.9325
O4 O 0.6840 0.0675 0.0675
O5 O 0.3301 0.9287 0.3301
O6 O 0.3301 0.3301 0.9287
O7 O 0.6699 0.6699 0.0713
O8 O 0.0713 0.6699 0.6699
O9 O 0.0675 0.6840 0.0675
O10 O 0.9325 0.3160 0.9325
O11 O 0.0675 0.0675 0.6840
O12 O 0.9287 0.3301 0.3301
Pt1 Pt 0.0000 0.5000 0.0000
Pt2 Pt 0.5000 0.0000 0.0000
Pt3 Pt 0.0000 0.0000 0.5000
Mo1 Mo 0.0000 0.0000 0.0000
# E_tot: -5.617 eV/atom

***

# YMo2PtO | Alexandria via LeMat-Bulk | PBE with a Hubbard U | relaxed
data_YMo2PtO
_space_group_name_H-M_alt 'P 1'
_space_group_IT_number 1
_cell_length_a 4.3788
_cell_length_b 4.6586
_cell_length_c 4.3788
_cell_angle_alpha 90.00
_cell_angle_beta 90.00
_cell_angle_gamma 90.00
loop_
_space_group_symop_operation_xyz
'x,y,z'
loop_
_atom_site_label
_atom_site_type_symbol
_atom_site_fract_x
_atom_site_fract_y
_atom_site_fract_z
O1 O 0.0000 0.0000 0.0000
Mo1 Mo 0.0000 0.0000 0.5000
Mo2 Mo 0.5000 0.0000 0.0000
Y1 Y 0.0000 0.5000 0.0000
Pt1 Pt 0.5000 0.5000 0.5000
# E_tot: -6.738 eV/atom

***

# PuMo2O8 | Alexandria via LeMat-Bulk | PBE with a Hubbard U | relaxed
data_PuMo2O8
_space_group_name_H-M_alt 'P 1'
_space_group_IT_number 1
_cell_length_a 4.0307
_cell_length_b 4.0928
_cell_length_c 10.5708
_cell_angle_alpha 90.29
_cell_angle_beta 100.99
_cell_angle_gamma 90.00
loop_
_space_group_symop_operation_xyz
'x,y,z'
loop_
_atom_site_label
_atom_site_type_symbol
_atom_site_fract_x
_atom_site_fract_y
_atom_site_fract_z
O1 O 0.8019 0.5188 0.6038
O2 O 0.2861 0.0147 0.5721
O3 O 0.9950 0.4997 0.9901
O4 O 0.0967 0.9985 0.1935
O5 O 0.4950 0.9996 0.9901
O6 O 0.8933 0.0015 0.7866
O7 O 0.1881 0.4815 0.3763
O8 O 0.7040 0.9857 0.4080
Pu1 Pu 0.9950 0.9998 0.9900
Mo1 Mo 0.8040 0.0925 0.6080
Mo2 Mo 0.1861 0.9078 0.3721
# energy above the lowest structure with this stoichiometry: 0.0000 eV per atom
# E_tot: -8.094 eV/atom

***

# Pu3Mo5O12 | Alexandria via LeMat-Bulk | PBE with a Hubbard U | relaxed
data_Pu3Mo5O12
_space_group_name_H-M_alt 'P 1'
_space_group_IT_number 1
_cell_length_a 11.3627
_cell_length_b 11.3627
_cell_length_c 11.3627
_cell_angle_alpha 109.47
_cell_angle_beta 109.47
_cell_angle_gamma 109.47
loop_
_space_group_symop_operation_xyz
'x,y,z'
loop_
_atom_site_label
_atom_site_type_symbol
_atom_site_fract_x
_atom_site_fract_y
_atom_site_fract_z
Pu1 Pu 0.8750 0.1250 0.2500
Pu2 Pu 0.6250 0.2500 0.3750
Pu3 Pu 0.6250 0.3750 0.7500
Pu4 Pu 0.3750 0.6250 0.2500
Pu5 Pu 0.8750 0.7500 0.1250
Pu6 Pu 0.7500 0.8750 0.6250
Pu7 Pu 0.1250 0.2500 0.8750
Pu8 Pu 0.3750 0.7500 0.6250
Pu9 Pu 0.1250 0.8750 0.7500
Pu10 Pu 0.2500 0.6250 0.8750
Pu11 Pu 0.2500 0.1250 0.3750
Pu12 Pu 0.7500 0.3750 0.1250
Mo1 Mo 0.5000 0.0000 0.5000
Mo2 Mo 0.6250 0.8750 0.2500
Mo3 Mo 0.6250 0.7500 0.8750
Mo4 Mo 0.2500 0.3750 0.6250
Mo5 Mo 0.2500 0.8750 0.1250
Mo6 Mo 0.5000 0.0000 0.0000
Mo7 Mo 0.8750 0.6250 0.7500
Mo8 Mo 0.0000 0.5000 0.0000
Mo9 Mo 0.8750 0.2500 0.6250
Mo10 Mo 0.0000 0.0000 0.5000
Mo11 Mo 0.0000 0.5000 0.5000
Mo12 Mo 0.1250 0.3750 0.2500
Mo13 Mo 0.7500 0.1250 0.8750
Mo14 Mo 0.0000 0.0000 0.0000
Mo15 Mo 0.1250 0.7500 0.3750
Mo16 Mo 0.3750 0.2500 0.1250
Mo17 Mo 0.7500 0.6250 0.3750
Mo18 Mo 0.5000 0.5000 0.0000
Mo19 Mo 0.5000 0.5000 0.5000
Mo20 Mo 0.3750 0.1250 0.7500
O1 O 0.4257 0.1376 0.5960
O2 O 0.2119 0.6703 0.0743
O3 O 0.9584 0.5960 0.1703
O4 O 0.5743 0.8624 0.4040
O5 O 0.0960 0.1703 0.4584
O6 O 0.7119 0.5743 0.1703
O7 O 0.3297 0.7881 0.4257
O8 O 0.9040 0.0743 0.8624
O9 O 0.0960 0.9257 0.1376
O10 O 0.8624 0.2881 0.4584
O11 O 0.2119 0.5416 0.6376
O12 O 0.4257 0.2881 0.3297
O13 O 0.4584 0.6703 0.0960
O14 O 0.3624 0.9584 0.7881
O15 O 0.9257 0.0960 0.6376
O16 O 0.9257 0.8297 0.7881
O17 O 0.9584 0.3624 0.2881
O18 O 0.4040 0.3624 0.5743
O19 O 0.2881 0.8624 0.9584
O20 O 0.7881 0.4584 0.3624
O21 O 0.7119 0.1376 0.0416
O22 O 0.3297 0.5416 0.4040
O23 O 0.5416 0.3297 0.9040
O24 O 0.5416 0.2119 0.1376
O25 O 0.6376 0.5960 0.9257
O26 O 0.8624 0.5743 0.9040
O27 O 0.1703 0.0743 0.7119
O28 O 0.1376 0.4257 0.0960
O29 O 0.8297 0.9257 0.2881
O30 O 0.3624 0.4040 0.0743
O31 O 0.0743 0.9040 0.3624
O32 O 0.1703 0.0960 0.9584
O33 O 0.4040 0.0416 0.3297
O34 O 0.0416 0.6376 0.7119
O35 O 0.5743 0.7119 0.6703
O36 O 0.0743 0.1703 0.2119
O37 O 0.5960 0.9584 0.6703
O38 O 0.9040 0.8297 0.5416
O39 O 0.1376 0.7119 0.5416
O40 O 0.6703 0.2119 0.5743
O41 O 0.6703 0.4584 0.5960
O42 O 0.5960 0.6376 0.4257
O43 O 0.2881 0.4257 0.8297
O44 O 0.8297 0.9040 0.0416
O45 O 0.0416 0.4040 0.8297
O46 O 0.6376 0.0416 0.2119
O47 O 0.7881 0.3297 0.9257
O48 O 0.4584 0.7881 0.8624
# E_tot: -8.503 eV/atom

***

# PuMoO6 | Alexandria via LeMat-Bulk | PBE with a Hubbard U | relaxed
data_PuMoO6
_space_group_name_H-M_alt 'P 1'
_space_group_IT_number 1
_cell_length_a 5.6412
_cell_length_b 5.6412
_cell_length_c 5.6412
_cell_angle_alpha 60.00
_cell_angle_beta 60.00
_cell_angle_gamma 60.00
loop_
_space_group_symop_operation_xyz
'x,y,z'
loop_
_atom_site_label
_atom_site_type_symbol
_atom_site_fract_x
_atom_site_fract_y
_atom_site_fract_z
O1 O 0.7576 0.2424 0.2424
O2 O 0.2424 0.7576 0.7576
O3 O 0.2424 0.2424 0.7576
O4 O 0.7576 0.2424 0.7576
O5 O 0.2424 0.7576 0.2424
O6 O 0.7576 0.7576 0.2424
Pu1 Pu 0.5000 0.5000 0.5000
Mo1 Mo 0.0000 0.0000 0.0000
# E_tot: -8.323 eV/atom

***

# PuMo2O8 | Alexandria via LeMat-Bulk | PBE with a Hubbard U | relaxed
data_PuMo2O8
_space_group_name_H-M_alt 'P 1'
_space_group_IT_number 1
_cell_length_a 5.7706
_cell_length_b 6.5790
_cell_length_c 6.5790
_cell_angle_alpha 59.64
_cell_angle_beta 78.96
_cell_angle_gamma 78.96
loop_
_space_group_symop_operation_xyz
'x,y,z'
loop_
_atom_site_label
_atom_site_type_symbol
_atom_site_fract_x
_atom_site_fract_y
_atom_site_fract_z
O1 O 0.1879 0.9162 0.3148
O2 O 0.7439 0.6617 0.6617
O3 O 0.1879 0.3148 0.9162
O4 O 0.8121 0.6852 0.0838
O5 O 0.3355 0.8683 0.8683
O6 O 0.6645 0.1317 0.1317
O7 O 0.8121 0.0838 0.6852
O8 O 0.2561 0.3383 0.3383
Mo1 Mo 0.3355 0.1833 0.1833
Mo2 Mo 0.6645 0.8167 0.8167
Pu1 Pu 0.0000 0.0000 0.0000
# energy above the lowest structure with this stoichiometry: 0.0843 eV per atom
# E_tot: -8.009 eV/atom

***

# Rb2Pu3MoO12 | Alexandria via LeMat-Bulk | PBE with a Hubbard U | relaxed
data_Rb2Pu3MoO12
_space_group_name_H-M_alt 'P 1'
_space_group_IT_number 1
_cell_length_a 7.6658
_cell_length_b 7.6658
_cell_length_c 7.6658
_cell_angle_alpha 61.06
_cell_angle_beta 61.06
_cell_angle_gamma 61.06
loop_
_space_group_symop_operation_xyz
'x,y,z'
loop_
_atom_site_label
_atom_site_type_symbol
_atom_site_fract_x
_atom_site_fract_y
_atom_site_fract_z
Rb1 Rb 0.3717 0.3717 0.3717
Rb2 Rb 0.6283 0.6283 0.6283
O1 O 0.9367 0.3211 0.3211
O2 O 0.2977 0.9395 0.9395
O3 O 0.0605 0.0605 0.7023
O4 O 0.0633 0.6789 0.6789
O5 O 0.3211 0.9367 0.3211
O6 O 0.6789 0.6789 0.0633
O7 O 0.0605 0.7023 0.0605
O8 O 0.7023 0.0605 0.0605
O9 O 0.3211 0.3211 0.9367
O10 O 0.6789 0.0633 0.6789
O11 O 0.9395 0.9395 0.2977
O12 O 0.9395 0.2977 0.9395
Pu1 Pu 0.0000 0.0000 0.5000
Pu2 Pu 0.0000 0.5000 0.0000
Pu3 Pu 0.5000 0.0000 0.0000
Mo1 Mo 0.0000 0.0000 0.0000
# E_tot: -8.526 eV/atom

***

# Rb2PuMoO6 | Alexandria via LeMat-Bulk | PBE with a Hubbard U | relaxed
data_Rb2PuMoO6
_space_group_name_H-M_alt 'P 1'
_space_group_IT_number 1
_cell_length_a 4.3740
_cell_length_b 5.9352
_cell_length_c 5.9352
_cell_angle_alpha 90.00
_cell_angle_beta 90.00
_cell_angle_gamma 90.00
loop_
_space_group_symop_operation_xyz
'x,y,z'
loop_
_atom_site_label
_atom_site_type_symbol
_atom_site_fract_x
_atom_site_fract_y
_atom_site_fract_z
Mo1 Mo 0.5878 0.5000 0.5000
O1 O 0.6532 0.7294 0.7294
O2 O 0.6532 0.2706 0.7294
O3 O 0.1790 0.5000 0.5000
O4 O 0.6532 0.7294 0.2706
O5 O 0.1496 0.0000 0.0000
O6 O 0.6532 0.2706 0.2706
Rb1 Rb 0.1334 0.5000 0.0000
Rb2 Rb 0.1334 0.0000 0.5000
Pu1 Pu 0.6504 0.0000 0.0000
# E_tot: -7.428 eV/atom